Record 1
DFT (PBEsol) results for TlW2N after structural relaxation.

Unit cell a=4.3599 b=4.3599 c=4.3599 alpha=60.00 beta=60.00 gamma=60.00
Fractional positions:
W1 0.2500 0.2500 0.2500
Tl1 0.5000 0.5000 0.5000
W2 0.7500 0.7500 0.7500
N1 0.0000 0.0000 0.0000

E_form (uncorrected), eV per atom: 1.705

Record 2
DFT (PBEsol) results for YTl3N after structural relaxation.

Unit cell a=5.9063 b=5.9063 c=5.9063 alpha=90.00 beta=90.00 gamma=90.00
Last column: magnetic moment on the atom in μB.
Fractional positions:
Tl1 0.0000 0.5000 0.0000  -0.12
N1 0.5000 0.5000 0.5000  1.71
Y1 0.0000 0.0000 0.0000  -0.59
Tl2 0.0000 0.0000 0.5000  -0.12
Tl3 0.5000 0.0000 0.0000  -0.12

E_form (uncorrected), eV per atom: 1.545

Record 3
DFT (PBEsol) results for TlZn3N after structural relaxation.

Unit cell a=5.0716 b=5.0716 c=5.0716 alpha=90.00 beta=90.00 gamma=90.00
Last column: magnetic moment on the atom in μB.
Fractional positions:
Zn1 0.0000 0.0000 0.5000  -0.01
Tl1 0.0000 0.0000 0.0000  0.02
Zn2 0.5000 0.0000 0.0000  -0.01
N1 0.5000 0.5000 0.5000  1.53
Zn3 0.0000 0.5000 0.0000  -0.01

E_form (uncorrected), eV per atom: 1.558

> Which formula does entry 2 have?

YTl3N